Below is an optimized crystal structure of Tb6HgRu2, with properties calculated at the GGA-PBE level.

## Properties
E_form (eV per atom): -0.2525
E above lowest polymorph (meV per atom): 98
Total DFT energy (no corrections) (eV per atom): -5.43

Cell lengths 10.0256, 5.0889, 9.2510 Å; angles 90.00, 100.82, 90.00 degrees
Closest atoms and distances in Å follow each position.
Space group C2/m (No. 12)
Inequivalent atoms, fractional coordinates:
Tb (0.0374, 0.0000, 0.3396) [4 per cell]  2 Ru 3.06, 1 Hg 3.09, 4 Tb 3.11-3.23
Tb (0.1600, 0.5000, 0.8863) [4 per cell]  1 Ru 2.61
Tb (0.2160, 0.5000, 0.3420) [4 per cell]  3 Ru 2.77-3.06
Hg (0.0000, 0.0000, 0.0000) [2 per cell]  8 Tb 3.09-3.37
Ru (0.1123, 0.5000, 0.5994) [4 per cell]  2 Tb 2.61-2.77, 1 Ru 2.63

Below is an optimized crystal structure of LaB2Ru, with properties calculated at the GGA-PBE level.

## Properties
E_form (eV per atom): -0.1386
E above lowest polymorph (meV per atom): 283
Total DFT energy (no corrections) (eV per atom): -7.03

Cell lengths 3.7070, 3.7070, 15.0806 Å; angles 90.00, 90.00, 120.00 degrees
Closest atoms and distances in Å follow each position.
Space group R-3m (No. 166, hexagonal axes)
Inequivalent atoms, fractional coordinates:
La (0.0000, 0.0000, 0.0000) [3 per cell]  8 B 2.96-2.98, 6 Ru 3.30
B (0.0000, 0.0000, 0.1962) [6 per cell]  3 Ru 2.19, 3 B 2.32
Ru (0.0000, 0.0000, 0.5000) [3 per cell]  6 B 2.19

Below is an optimized crystal structure of CaYAgRh, with properties calculated at the GGA-PBE level.

## Properties
E_form (eV per atom): -0.4987
E above lowest polymorph (meV per atom): 0
Total DFT energy (no corrections) (eV per atom): -5.17

Cell lengths 3.4990, 3.4990, 7.4217 Å; angles 90.00, 90.00, 90.00 degrees
Closest atoms and distances in Å follow each position.
Space group P4mm (No. 99)
Inequivalent atoms, fractional coordinates:
Ca (0.0000, 0.0000, 0.0000) [1 per cell]  4 Rh 3.10, 4 Ag 3.24, 1 Y 3.35
Y (0.0000, 0.0000, 0.5484) [1 per cell]  4 Rh 2.89, 4 Ag 3.17
Ag (0.5000, 0.5000, 0.2821) [1 per cell]  4 Y 3.17, 4 Ca 3.24, 1 Rh 3.46, 4 Ag 3.50
Rh (0.5000, 0.5000, 0.7484) [1 per cell]  4 Y 2.89, 4 Ca 3.10

Below is an optimized crystal structure of HgIr2Br, with properties calculated at the GGA-PBE level.

## Properties
Energy relative to the elements, uncorrected (eV/f.u.): 4.8
E above lowest polymorph (meV per atom): 772
Total DFT energy (no corrections) (eV per atom): -3.73

Cell lengths 6.5660, 6.5660, 6.5660 Å; angles 90.00, 90.00, 90.00 degrees
Closest atoms and distances in Å follow each position.
Space group Fm-3m (No. 225)
Inequivalent atoms, fractional coordinates:
Hg (0.0000, 0.0000, 0.0000) [4 per cell]  8 Ir 2.84
Ir (0.2500, 0.2500, 0.2500) [8 per cell]  4 Hg 2.84, 4 Br 2.84
Br (0.0000, 0.0000, 0.5000) [4 per cell]  8 Ir 2.84

Below is an optimized crystal structure of AcDyAsPt, with properties calculated at the GGA-PBE level.

## Properties
E_form (eV per atom): -0.9605
Total DFT energy (no corrections) (eV per atom): -5.81

Cell lengths 7.3958, 7.3958, 7.3958 Å; angles 90.00, 90.00, 90.00 degrees
Closest atoms and distances in Å follow each position.
Space group F-43m (No. 216)
Inequivalent atoms, fractional coordinates:
Ac (0.0000, 0.0000, 0.0000) [4 per cell]  4 As 3.20, 4 Pt 3.20
Dy (0.0000, 0.0000, 0.5000) [4 per cell]  4 As 3.20, 4 Pt 3.20
As (0.2500, 0.2500, 0.2500) [4 per cell]  4 Ac 3.20, 4 Dy 3.20
Pt (0.2500, 0.2500, 0.7500) [4 per cell]  4 Ac 3.20, 4 Dy 3.20

Below is an optimized crystal structure of KBa7Sr4, with properties calculated at the GGA-PBE level.

## Properties
E_form (eV per atom): 0.0258
Total DFT energy (no corrections) (eV per atom): -1.75

Cell lengths 4.4054, 4.4054, 43.8909 Å; angles 90.00, 90.00, 120.00 degrees
Closest atoms and distances in Å follow each position.
Space group P-3m1 (No. 164)
Inequivalent atoms, fractional coordinates:
K (0.0000, 0.0000, 0.0000) [1 per cell]  6 K 4.41, 6 Ba 4.67
Ba (0.0000, 0.0000, 0.2517) [2 per cell]  3 Sr 4.39, 9 Ba 4.41-4.51
Ba (0.0000, 0.0000, 0.5000) [1 per cell]  6 Ba 4.41, 6 Sr 4.41
Ba (0.3333, 0.6667, 0.6634) [2 per cell]  3 Sr 4.38, 9 Ba 4.41-4.51
Ba (0.3333, 0.6667, 0.9107) [2 per cell]  3 Sr 4.37, 6 Ba 4.41, 3 K 4.67
Sr (0.3333, 0.6667, 0.1702) [2 per cell]  6 Ba 4.37-4.39, 6 Sr 4.41
Sr (0.3333, 0.6667, 0.4180) [2 per cell]  6 Ba 4.38-4.41, 6 Sr 4.41

Below is an optimized crystal structure of CaNpAsP, with properties calculated at the GGA-PBE level.

## Properties
E_form (eV per atom): -0.9449
Total DFT energy (no corrections) (eV per atom): -7.20

Cell lengths 4.1065, 4.1065, 20.1654 Å; angles 90.00, 90.00, 120.00 degrees
Closest atoms and distances in Å follow each position.
Space group R3m (No. 160, hexagonal axes)
Inequivalent atoms, fractional coordinates:
Ca (0.0000, 0.0000, 0.0000) [3 per cell]  3 P 2.98, 3 As 3.02
Np (0.0000, 0.0000, 0.5054) [3 per cell]  3 P 2.78, 3 As 2.86
As (0.0000, 0.0000, 0.7592) [3 per cell]  3 Np 2.86, 3 Ca 3.02
P (0.0000, 0.0000, 0.2437) [3 per cell]  3 Np 2.78, 3 Ca 2.98

Below is an optimized crystal structure of TbEr3Al2, with properties calculated at the GGA-PBE level.

## Properties
E_form (eV per atom): -0.2941
E above lowest polymorph (meV per atom): 0
Total DFT energy (no corrections) (eV per atom): -4.59

Cell lengths 5.0661, 9.4185, 6.5197 Å; angles 90.00, 90.00, 90.00 degrees
Closest atoms and distances in Å follow each position.
Space group Pmc2_1 (No. 26)
Inequivalent atoms, fractional coordinates:
Tb (0.0000, 0.0409, 0.0000) [2 per cell]  3 Al 3.13-3.17, 2 Tb 3.35, 3 Er 3.41-3.49
Er (0.0000, 0.3235, 0.6537) [2 per cell]  4 Al 3.04-3.12, 2 Er 3.39
Er (0.5000, 0.1803, 0.2861) [2 per cell]  5 Al 3.08-3.43, 2 Tb 3.41
Er (0.5000, 0.4578, 0.9405) [2 per cell]  3 Al 3.12-3.16, 5 Er 3.36-3.45
Al (0.0000, 0.3547, 0.1770) [2 per cell]  6 Er 3.04-3.12, 1 Tb 3.17
Al (0.5000, 0.1464, 0.7618) [2 per cell]  6 Er 3.08-3.43, 2 Tb 3.13

Below is an optimized crystal structure of BaOs2Se, with properties calculated at the GGA-PBE level.

## Properties
Energy relative to the elements, uncorrected (eV/f.u.): 4.9
Total DFT energy (no corrections) (eV per atom): -5.75

Cell lengths 4.0312, 4.0312, 10.8571 Å; angles 90.00, 90.00, 90.00 degrees
Closest atoms and distances in Å follow each position.
Space group I4/mmm (No. 139)
Inequivalent atoms, fractional coordinates:
Ba (0.0000, 0.0000, 0.0000) [2 per cell]  4 Se 2.85
Os (0.0000, 0.5000, 0.2500) [4 per cell]  4 Os 2.85
Se (0.0000, 0.0000, 0.5000) [2 per cell]  4 Ba 2.85

Below is an optimized crystal structure of Ba2Sr3Tl4, with properties calculated at the GGA-PBE level.

## Properties
E_form (eV per atom): -0.3482
E above lowest polymorph (meV per atom): 0
Total DFT energy (no corrections) (eV per atom): -2.39

Cell lengths 5.9452, 5.9452, 11.4441 Å; angles 90.00, 90.00, 120.00 degrees
Closest atoms and distances in Å follow each position.
Space group P-3m1 (No. 164)
Inequivalent atoms, fractional coordinates:
Ba (0.3333, 0.6667, 0.2899) [2 per cell]  7 Tl 3.52-3.83
Sr (0.0000, 0.0000, 0.5000) [1 per cell]  6 Tl 3.61
Sr (0.3333, 0.6667, 0.9056) [2 per cell]  4 Tl 3.47-3.52
Tl (0.0000, 0.0000, 0.1412) [2 per cell]  1 Tl 3.23, 3 Sr 3.47
Tl (0.3333, 0.6667, 0.5978) [2 per cell]  4 Ba 3.52-3.67, 4 Sr 3.52-3.61

- What is the formula in the sixth record?
  KBa7Sr4

- Which value of total DFT energy (no corrections) does entry 9 give?
  -5.75 eV per atom